No. 1
Here is a relaxed structure of SmPaCuIr from the Alexandria database. Energies are from PBE-GGA.

Cell lengths 4.9245, 4.9245, 4.9245 Å; angles 60.00, 60.00, 60.00 degrees
With the nearest neighbours (Å) after each atom.
Positions (direct):
Sm (0.5000, 0.5000, 0.5000)  4 Cu 3.02, 4 Ir 3.02
Pa (0.0000, 0.0000, 0.0000)  4 Ir 3.02, 4 Cu 3.02
Cu (0.7500, 0.7500, 0.7500)  4 Sm 3.02, 4 Pa 3.02
Ir (0.2500, 0.2500, 0.2500)  4 Pa 3.02, 4 Sm 3.02

## Properties
- ΔE_f (eV per atom) = -0.31
- electronic total energy (eV for the cell shown) = -28.4
- calculated density (g/cm³) = 12.53

***

No. 2
Here is a relaxed structure of PaCuSnIr from the Alexandria database. Energies are from PBE-GGA.

Cell lengths 4.7772, 4.7772, 4.7772 Å; angles 60.00, 60.00, 60.00 degrees
With the nearest neighbours (Å) after each atom.
Positions (direct):
Ir (0.7500, 0.7500, 0.7500)  4 Sn 2.93, 4 Pa 2.93
Cu (0.2500, 0.2500, 0.2500)  4 Sn 2.93, 4 Pa 2.93
Pa (0.5000, 0.5000, 0.5000)  4 Cu 2.93, 4 Ir 2.93
Sn (0.0000, 0.0000, 0.0000)  4 Ir 2.93, 4 Cu 2.93

## Properties
- ΔE_f (eV per atom) = -0.36
- electronic total energy (eV for the cell shown) = -27.9
- calculated density (g/cm³) = 13.04

***

No. 3
Here is a relaxed structure of TbPaCuIr from the Alexandria database. Energies are from PBE-GGA.

Cell lengths 4.8920, 4.8920, 4.8920 Å; angles 60.00, 60.00, 60.00 degrees
With the nearest neighbours (Å) after each atom.
Positions (direct):
Tb (0.0000, 0.0000, 0.0000)  4 Ir 3.00, 4 Cu 3.00
Ir (0.7500, 0.7500, 0.7500)  4 Tb 3.00, 4 Pa 3.00
Pa (0.5000, 0.5000, 0.5000)  4 Cu 3.00, 4 Ir 3.00
Cu (0.2500, 0.2500, 0.2500)  4 Tb 3.00, 4 Pa 3.00

## Properties
- ΔE_f (eV per atom) = -0.37
- electronic total energy (eV for the cell shown) = -28.6
- calculated density (g/cm³) = 12.95

***

No. 4
Here is a relaxed structure of YPaCuIr from the Alexandria database. Energies are from PBE-GGA.

Cell lengths 4.8924, 4.8924, 4.8924 Å; angles 60.00, 60.00, 60.00 degrees
With the nearest neighbours (Å) after each atom.
Positions (direct):
Y (0.0000, 0.0000, 0.0000)  4 Cu 3.00, 4 Ir 3.00
Cu (0.7500, 0.7500, 0.7500)  4 Pa 3.00, 4 Y 3.00
Pa (0.5000, 0.5000, 0.5000)  4 Ir 3.00, 4 Cu 3.00
Ir (0.2500, 0.2500, 0.2500)  4 Y 3.00, 4 Pa 3.00

## Properties
- ΔE_f (eV per atom) = -0.37
- electronic total energy (eV for the cell shown) = -30.4
- calculated density (g/cm³) = 11.55

***

No. 5
Here is a relaxed structure of PaZnCuIr from the Alexandria database. Energies are from PBE-GGA.

Cell lengths 4.6502, 4.6502, 4.6502 Å; angles 60.00, 60.00, 60.00 degrees
With the nearest neighbours (Å) after each atom.
Positions (direct):
Pa (0.2500, 0.2500, 0.2500)  4 Ir 2.85, 4 Cu 2.85
Ir (0.0000, 0.0000, 0.0000)  4 Pa 2.85, 4 Zn 2.85
Zn (0.7500, 0.7500, 0.7500)  4 Cu 2.85, 4 Ir 2.85
Cu (0.5000, 0.5000, 0.5000)  4 Pa 2.85, 4 Zn 2.85

## Properties
- ΔE_f (eV per atom) = -0.29
- electronic total energy (eV for the cell shown) = -24.9
- calculated density (g/cm³) = 12.90

***

No. 6
Here is a relaxed structure of ZrPaCuIr from the Alexandria database. Energies are from PBE-GGA.

Cell lengths 4.7878, 4.7878, 4.7878 Å; angles 60.00, 60.00, 60.00 degrees
With the nearest neighbours (Å) after each atom.
Positions (direct):
Cu (0.2500, 0.2500, 0.2500)  4 Zr 2.93, 4 Pa 2.93
Pa (0.0000, 0.0000, 0.0000)  4 Cu 2.93, 4 Ir 2.93
Ir (0.7500, 0.7500, 0.7500)  4 Pa 2.93, 4 Zr 2.93
Zr (0.5000, 0.5000, 0.5000)  4 Cu 2.93, 4 Ir 2.93

## Properties
- ΔE_f (eV per atom) = -0.31
- electronic total energy (eV for the cell shown) = -32.2
- calculated density (g/cm³) = 12.37

***

No. 7
Here is a relaxed structure of CuIr2Pb from the Alexandria database. Energies are from PBE-GGA.

Cell lengths 3.2428, 3.2405, 6.1832 Å; angles 90.00, 90.00, 90.00 degrees
With the nearest neighbours (Å) after each atom.
Positions (direct):
Pb (0.5000, 0.5000, 0.2500)  8 Ir 2.87, 2 Cu 3.09
Ir (0.0000, 0.0000, 0.9717)  4 Cu 2.67, 1 Ir 2.74, 4 Pb 2.87
Ir (0.0000, 0.0000, 0.5283)  4 Cu 2.67, 1 Ir 2.74, 4 Pb 2.87
Cu (0.5000, 0.5000, 0.7500)  8 Ir 2.67

## Properties
- ΔE_f (eV per atom) = 0.44
- electronic total energy (eV for the cell shown) = -23.8
- calculated density (g/cm³) = 16.74

***

No. 8
Here is a relaxed structure of CuIr2Pb2 from the Alexandria database. Energies are from PBE-GGA.

Cell lengths 6.8965, 6.8965, 4.0640 Å; angles 90.00, 90.00, 90.00 degrees
With the nearest neighbours (Å) after each atom.
Positions (direct):
Ir (0.3597, 0.8597, 0.0000)  2 Cu 2.66, 1 Ir 2.74, 6 Pb 2.76-2.95
Ir (0.6403, 0.1403, 0.0000)  2 Cu 2.66, 1 Ir 2.74, 6 Pb 2.76-2.95
Ir (0.8597, 0.6403, 0.0000)  2 Cu 2.66, 1 Ir 2.74, 6 Pb 2.76-2.95
Ir (0.1403, 0.3597, 0.0000)  2 Cu 2.66, 1 Ir 2.74, 6 Pb 2.76-2.95
Cu (0.5000, 0.5000, 0.0000)  4 Ir 2.66
Cu (0.0000, 0.0000, 0.0000)  4 Ir 2.66
Pb (0.1679, 0.6679, 0.5000)  6 Ir 2.76-2.95
Pb (0.6679, 0.8321, 0.5000)  6 Ir 2.76-2.95
Pb (0.8321, 0.3321, 0.5000)  6 Ir 2.76-2.95
Pb (0.3321, 0.1679, 0.5000)  6 Ir 2.76-2.95

## Properties
- ΔE_f (eV per atom) = 0.38
- electronic total energy (eV for the cell shown) = -54.7
- calculated density (g/cm³) = 14.82

***

No. 9
Here is a relaxed structure of CuIrPb2 from the Alexandria database. Energies are from PBE-GGA.

Cell lengths 4.5860, 4.5860, 9.3621 Å; angles 75.82, 75.82, 90.00 degrees
With the nearest neighbours (Å) after each atom.
Positions (direct):
Pb (0.1291, 0.6250, 0.2500)  2 Cu 2.72, 2 Ir 2.74
Pb (0.3750, 0.3791, 0.7500)  2 Cu 2.72, 2 Ir 2.74
Pb (0.6209, 0.1250, 0.2500)  2 Cu 2.72, 2 Ir 2.74
Pb (0.8750, 0.8709, 0.7500)  2 Cu 2.72, 2 Ir 2.74
Cu (0.2500, 0.7500, 0.5000)  4 Pb 2.72
Cu (0.5000, 0.5000, 0.0000)  4 Pb 2.72
Ir (0.0000, 0.0000, 0.0000)  4 Pb 2.74
Ir (0.7500, 0.2500, 0.5000)  4 Pb 2.74

## Properties
- ΔE_f (eV per atom) = 0.61
- electronic total energy (eV for the cell shown) = -35.8
- energy above the lowest structure with this stoichiometry (meV per atom) = 383
- calculated density (g/cm³) = 12.05

***

No. 10
Here is a relaxed structure of CuIrPb2 from the Alexandria database. Energies are from PBE-GGA.

Cell lengths 3.4168, 3.4168, 7.1032 Å; angles 90.00, 90.00, 89.85 degrees
With the nearest neighbours (Å) after each atom.
Positions (direct):
Pb (0.0000, 0.0000, 0.9917)  4 Ir 2.96-2.97, 4 Cu 3.03-3.04
Pb (0.0000, 0.0000, 0.5083)  4 Ir 2.96-2.97, 4 Cu 3.03-3.04
Cu (0.5000, 0.5000, 0.2500)  8 Pb 3.03-3.04
Ir (0.5000, 0.5000, 0.7500)  8 Pb 2.96-2.97

## Properties
- ΔE_f (eV per atom) = 0.42
- electronic total energy (eV for the cell shown) = -18.7
- energy above the lowest structure with this stoichiometry (meV per atom) = 193
- calculated density (g/cm³) = 13.42

***

No. 11
Here is a relaxed structure of CuIrPb2 from the Alexandria database. Energies are from PBE-GGA.

Cell lengths 6.5572, 6.5572, 6.5572 Å; angles 151.62, 139.15, 50.50 degrees
With the nearest neighbours (Å) after each atom.
Positions (direct):
Pb (0.7510, 0.2510, 0.5000)  4 Ir 2.81
Pb (0.0370, 0.0370, 0.0000)  4 Cu 3.01, 2 Ir 3.19, 2 Pb 3.22
Ir (0.2696, 0.7696, 0.5000)  2 Cu 2.60, 4 Pb 2.81
Cu (0.4424, 0.4424, 0.0000)  2 Ir 2.60

## Properties
- ΔE_f (eV per atom) = 0.37
- electronic total energy (eV for the cell shown) = -18.9
- energy above the lowest structure with this stoichiometry (meV per atom) = 139
- calculated density (g/cm³) = 12.75

***

No. 12
Here is a relaxed structure of CuIr2Pb from the Alexandria database. Energies are from PBE-GGA.

Cell lengths 4.4407, 2.9494, 5.1529 Å; angles 83.34, 90.00, 90.00 degrees
With the nearest neighbours (Å) after each atom.
Positions (direct):
Cu (0.5000, 0.7500, 0.7500)  4 Ir 2.58, 2 Pb 2.82
Pb (0.5000, 0.2500, 0.2500)  4 Cu 2.82-3.11, 4 Ir 2.85, 2 Pb 2.95
Ir (0.0000, 0.9514, 0.9661)  2 Cu 2.58, 2 Ir 2.64-2.67, 2 Pb 2.85
Ir (0.0000, 0.5486, 0.5339)  2 Cu 2.58, 2 Ir 2.64-2.67, 2 Pb 2.85

## Properties
- ΔE_f (eV per atom) = 0.43
- electronic total energy (eV for the cell shown) = -23.8
- calculated density (g/cm³) = 16.23

***

No. 13
Here is a relaxed structure of CuIrPb2 from the Alexandria database. Energies are from PBE-GGA.

Cell lengths 3.5184, 3.3614, 7.4684 Å; angles 70.06, 90.00, 90.00 degrees
With the nearest neighbours (Å) after each atom.
Positions (direct):
Pb (0.0000, 0.4578, 0.5090)  2 Cu 2.87, 4 Ir 2.92-3.01
Pb (0.0000, 0.0422, 0.9910)  2 Cu 2.87, 4 Ir 2.92-3.01
Ir (0.5000, 0.7500, 0.7500)  8 Pb 2.92-3.01
Cu (0.5000, 0.2500, 0.2500)  4 Pb 2.87

## Properties
- ΔE_f (eV per atom) = 0.42
- electronic total energy (eV for the cell shown) = -18.7
- energy above the lowest structure with this stoichiometry (meV per atom) = 190
- calculated density (g/cm³) = 13.40

***

No. 14
Here is a relaxed structure of CuIr2Pb from the Alexandria database. Energies are from PBE-GGA.

Cell lengths 4.7749, 4.7749, 4.7749 Å; angles 128.67, 128.67, 75.55 degrees
With the nearest neighbours (Å) after each atom.
Positions (direct):
Ir (0.5000, 0.5000, 0.0000)  4 Pb 2.80, 4 Cu 2.80, 4 Ir 2.92
Ir (0.0000, 0.0000, 0.0000)  4 Cu 2.80, 4 Pb 2.80, 4 Ir 2.92
Pb (0.2500, 0.7500, 0.5000)  8 Ir 2.80, 4 Cu 2.92
Cu (0.7500, 0.2500, 0.5000)  8 Ir 2.80, 4 Pb 2.92

## Properties
- ΔE_f (eV per atom) = 0.39
- electronic total energy (eV for the cell shown) = -24.0
- calculated density (g/cm³) = 16.85

***

No. 15
Here is a relaxed structure of CuIr2Pb from the Alexandria database. Energies are from PBE-GGA.

Cell lengths 4.8437, 4.8437, 4.8437 Å; angles 129.86, 129.86, 73.63 degrees
With the nearest neighbours (Å) after each atom.
Positions (direct):
Ir (0.0000, 0.0000, 0.0000)  4 Ir 2.82, 4 Cu 2.82, 4 Pb 2.90
Ir (0.2500, 0.7500, 0.5000)  4 Ir 2.82, 4 Pb 2.82, 4 Cu 2.90
Pb (0.5000, 0.5000, 0.0000)  8 Ir 2.82-2.90, 4 Cu 2.82
Cu (0.7500, 0.2500, 0.5000)  4 Pb 2.82, 8 Ir 2.82-2.90

## Properties
- ΔE_f (eV per atom) = 0.49
- electronic total energy (eV for the cell shown) = -23.6
- calculated density (g/cm³) = 16.65